Record 1
Material: SrTm5Tl6
Method: DFT, GGA-PBE
State: optimized geometry

Cell lengths 5.436, 7.494, 9.354 Å; angles 113.61, 106.89, 90.00 degrees
Positions (direct):
Sr  0.000  0.000  0.000
Tl  0.171  0.428  0.342
Tl  0.171  0.914  0.342
Tl  0.500  0.264  0.000
Tl  0.500  0.736  0.000
Tl  0.829  0.086  0.658
Tl  0.829  0.572  0.658
Tm  0.337  0.837  0.675
Tm  0.668  0.668  0.336
Tm  0.000  0.500  0.000
Tm  0.332  0.332  0.664
Tm  0.663  0.163  0.325

Uncorrected energy   -41.7 eV per cell

---

Record 2
Material: SrTm2Tl
Method: DFT, GGA-PBE
State: optimized geometry

Cell lengths 4.977, 4.978, 4.978 Å; angles 90.00, 90.00, 90.00 degrees
Positions (direct):
Sr  0.500  0.500  0.500
Tl  0.500  0.000  0.000
Tm  0.000  0.000  0.500
Tm  0.000  0.500  0.000

Uncorrected energy   -13.1 eV per cell
Polymorph energy (0 for the lowest one)   0 meV/atom

---

no.,calculated formation energy (kJ/mol of atoms),magnetic moment (μB/atom),volume (A^3/atom)
1,-28,0.000,27.6
2,-1,0.001,30.8